4
Lattice="1.801 1.040 5.235 -1.801 1.040 5.235 0.000 -2.080 5.235" Properties=species:S:1:pos:R:3 comment="AuC (meta-GGA SCAN, PBEsol geometry)" e_form_mev_per_atom=1959 dos_ef_per_ev_cell=2.4 e_tot_ev_per_cell=-150.679 crystal_system=trigonal pbc="T T T"
Au 0.000 0.000 1.396
Au 0.000 0.000 14.308
C 0.000 0.000 3.674
C 0.000 0.000 12.030